No. 1
# AgSbO | the Alexandria database | PBE-GGA | optimized geometry
# Energy, eV per atom: -4.367
# ΔE_f (raw), eV per atom: -0.39
# SG: No. 2
data_AgSbO
_cell_length_a 4.7172
_cell_length_b 5.6955
_cell_length_c 7.2375
_cell_angle_alpha 89.70
_cell_angle_beta 90.19
_cell_angle_gamma 146.14
_space_group_name_H-M_alt 'P 1'
_space_group_IT_number 1
loop_
_space_group_symop_operation_xyz
'x,y,z'
loop_
_atom_site_label
_atom_site_fract_x
_atom_site_fract_y
_atom_site_fract_z
O1 0.1791 0.7485 0.1417
O2 0.8209 0.2515 0.8583
Ag1 0.9972 0.7500 0.4643
Ag2 0.0028 0.2500 0.5357
Sb1 0.9869 0.7499 0.8671
Sb2 0.0131 0.2501 0.1329

No. 2
# ScCu2Au4 | the Alexandria database | PBE-GGA | optimized geometry
# Energy, eV per atom: -4.122
# DFT formation energy, meV per atom: -174
# SG: No. 139
data_ScCu2Au4
_cell_length_a 5.9038
_cell_length_b 5.5005
_cell_length_c 5.5005
_cell_angle_alpha 73.26
_cell_angle_beta 57.54
_cell_angle_gamma 57.54
_space_group_name_H-M_alt 'P 1'
_space_group_IT_number 1
loop_
_space_group_symop_operation_xyz
'x,y,z'
loop_
_atom_site_label
_atom_site_fract_x
_atom_site_fract_y
_atom_site_fract_z
Sc1 0.0000 0.0000 0.0000
Cu1 0.0000 0.5000 0.5000
Cu2 0.5000 0.5000 0.5000
Au1 0.4999 0.5000 0.0001
Au2 0.9999 0.0001 0.5000
Au3 0.5001 0.9999 0.5000
Au4 0.0001 0.5000 0.9999

No. 3
# LiNd3Sn2 | the Alexandria database | PBE-GGA | optimized geometry
# Energy, eV per atom: -4.567
# DFT formation energy, meV per atom: -529
# SG: No. 72
data_LiNd3Sn2
_cell_length_a 6.5351
_cell_length_b 6.4528
_cell_length_c 9.6575
_cell_angle_alpha 109.52
_cell_angle_beta 109.78
_cell_angle_gamma 90.00
_space_group_name_H-M_alt 'P 1'
_space_group_IT_number 1
loop_
_space_group_symop_operation_xyz
'x,y,z'
loop_
_atom_site_label
_atom_site_fract_x
_atom_site_fract_y
_atom_site_fract_z
Li1 0.0000 0.2500 0.0000
Li2 0.0000 0.7500 0.0000
Nd1 0.4258 0.6790 0.3580
Nd2 0.5742 0.3210 0.6420
Nd3 0.0678 0.8210 0.6420
Nd4 0.9322 0.1790 0.3580
Nd5 0.5000 0.7500 0.0000
Nd6 0.5000 0.2500 0.0000
Sn1 0.3690 0.1301 0.2602
Sn2 0.6310 0.8699 0.7398
Sn3 0.1088 0.3699 0.7398
Sn4 0.8912 0.6301 0.2602

No. 4
# RbLa2Mg | the Alexandria database | PBE-GGA | optimized geometry
# Energy, eV per atom: -2.584
# DFT formation energy, meV per atom: 520
# SG: No. 122
data_RbLa2Mg
_cell_length_a 4.9333
_cell_length_b 4.9333
_cell_length_c 13.7093
_cell_angle_alpha 79.63
_cell_angle_beta 79.63
_cell_angle_gamma 90.00
_space_group_name_H-M_alt 'P 1'
_space_group_IT_number 1
loop_
_space_group_symop_operation_xyz
'x,y,z'
loop_
_atom_site_label
_atom_site_fract_x
_atom_site_fract_y
_atom_site_fract_z
Mg1 0.5000 0.5000 0.0000
Mg2 0.2500 0.7500 0.5000
Rb1 0.0000 0.0000 0.0000
Rb2 0.7500 0.2500 0.5000
La1 0.5848 0.1250 0.2500
La2 0.1652 0.6250 0.2500
La3 0.3750 0.4152 0.7500
La4 0.8750 0.8348 0.7500

No. 5
# RbB2I8 | the Alexandria database | PBE-GGA | optimized geometry
# Energy, eV per atom: -2.668
# ΔE_f (raw), eV per atom: -0.24
# SG: No. 12
data_RbB2I8
_cell_length_a 7.2866
_cell_length_b 8.8608
_cell_length_c 8.8608
_cell_angle_alpha 84.47
_cell_angle_beta 84.54
_cell_angle_gamma 84.54
_space_group_name_H-M_alt 'P 1'
_space_group_IT_number 1
loop_
_space_group_symop_operation_xyz
'x,y,z'
loop_
_atom_site_label
_atom_site_fract_x
_atom_site_fract_y
_atom_site_fract_z
Rb1 0.0000 0.0000 0.0000
B1 0.5876 0.7698 0.7698
B2 0.4124 0.2302 0.2302
I1 0.3548 0.2948 0.9848
I2 0.6452 0.0152 0.7052
I3 0.2912 0.7387 0.7387
I4 0.7088 0.2613 0.2613
I5 0.3548 0.9848 0.2948
I6 0.6452 0.7052 0.0152
I7 0.7781 0.6221 0.6221
I8 0.2219 0.3779 0.3779

No. 6
# Cs3PmI8 | the Alexandria database | PBE-GGA | optimized geometry
# Energy, eV per atom: -2.749
# ΔE_f (raw), eV per atom: -1.11
# SG: No. 139
data_Cs3PmI8
_cell_length_a 8.6481
_cell_length_b 8.6481
_cell_length_c 10.7769
_cell_angle_alpha 113.66
_cell_angle_beta 113.66
_cell_angle_gamma 90.00
_space_group_name_H-M_alt 'P 1'
_space_group_IT_number 1
loop_
_space_group_symop_operation_xyz
'x,y,z'
loop_
_atom_site_label
_atom_site_fract_x
_atom_site_fract_y
_atom_site_fract_z
Cs1 0.7500 0.2500 0.5000
Cs2 0.5000 0.5000 0.0000
Cs3 0.2500 0.7500 0.5000
Pm1 0.0000 0.0000 0.0000
I1 0.3262 0.3262 0.2171
I2 0.3262 0.8909 0.2171
I3 0.1091 0.6738 0.7829
I4 0.1091 0.1091 0.7829
I5 0.8909 0.8909 0.2171
I6 0.8909 0.3262 0.2171
I7 0.6738 0.1091 0.7829
I8 0.6738 0.6738 0.7829